--- P ---
Here is a geometry-optimized NiIrO2 structure from the Alexandria database. Energies are from GGA+U.

abc: 6.079 2.789 6.145
angles: 90.00 111.56 90.00
Atoms (fractional coordinates):
1 Ni 0.000 0.000 0.000
2 Ni 0.494 0.000 0.884
3 Ir 0.079 0.500 0.519
4 Ir 0.660 0.500 0.442
5 O 0.101 0.500 0.211
6 O 0.462 0.500 0.647
7 O 0.524 0.500 0.115
8 O 0.928 0.500 0.778

=====

--- Q ---
Here is a geometry-optimized NiIrO2 structure from the Alexandria database. Energies are from GGA+U.

abc: 6.348 6.348 6.348
angles: 25.68 25.68 25.68
Atoms (fractional coordinates):
1 Ni 0.000 0.000 0.000
2 Ir 0.500 0.500 0.500
3 O 0.395 0.395 0.395
4 O 0.605 0.605 0.605

=====

--- R ---
Here is a geometry-optimized NiIrO2 structure from the Alexandria database. Energies are from GGA+U.

abc: 3.888 3.888 3.888
angles: 60.00 60.00 60.00
Atoms (fractional coordinates):
1 Ni 0.000 0.000 0.000
2 Ir 0.500 0.500 0.500
3 O 0.250 0.250 0.250
4 O 0.750 0.750 0.750

=====

--- S ---
Here is a geometry-optimized NiIrO2 structure from the Alexandria database. Energies are from GGA+U.

abc: 5.243 5.243 5.243
angles: 122.69 122.69 85.40
Atoms (fractional coordinates):
1 Ni 0.000 0.000 0.000
2 Ni 0.750 0.250 0.500
3 Ir 0.250 0.750 0.500
4 Ir 0.500 0.500 0.000
5 O 0.118 0.625 0.993
6 O 0.375 0.368 0.493
7 O 0.632 0.125 0.007
8 O 0.875 0.882 0.507

=====

Which one sits at the bottom of the stability order? R does.

=====

--- P ---
Here is a geometry-optimized NiIr3O structure from the Alexandria database. Energies are from GGA+U.

abc: 4.468 4.468 4.468
angles: 90.00 90.00 90.00
Atoms (fractional coordinates):
1 Ni 0.000 0.000 0.000
2 Ir 0.000 0.000 0.500
3 Ir 0.000 0.500 0.000
4 Ir 0.500 0.000 0.000
5 O 0.500 0.500 0.500

=====

--- Q ---
Here is a geometry-optimized NiIr3O structure from the Alexandria database. Energies are from GGA+U.

abc: 4.075 4.075 4.075
angles: 90.00 90.00 90.00
Atoms (fractional coordinates):
1 Ni 0.000 0.000 0.000
2 Ir 0.000 0.500 0.500
3 Ir 0.500 0.000 0.500
4 Ir 0.500 0.500 0.000
5 O 0.500 0.500 0.500

=====

Which one sits at the bottom of the stability order? P does.

=====

--- P ---
Here is a geometry-optimized YNiIrO2 structure from the Alexandria database. Energies are from GGA+U.

abc: 4.168 4.168 5.571
angles: 90.00 90.00 90.00
Atoms (fractional coordinates):
1 Y 0.000 0.000 0.000
2 Ni 0.000 0.000 0.500
3 Ir 0.500 0.500 0.500
4 O 0.000 0.500 0.000
5 O 0.500 0.000 0.000

=====

--- Q ---
Here is a geometry-optimized YNiIrO2 structure from the Alexandria database. Energies are from GGA+U.

abc: 3.905 3.905 4.696
angles: 90.00 90.00 90.00
Atoms (fractional coordinates):
1 Y 0.000 0.000 0.000
2 Ni 0.500 0.500 0.000
3 Ir 0.500 0.500 0.500
4 O 0.000 0.500 0.500
5 O 0.500 0.000 0.500

=====

Which one sits at the bottom of the stability order? P does.